{"formula": "Ga2OsPd", "functional": "PBE-GGA", "state": "optimized geometry", "lattice_angstrom": [[0.000, 3.072, 3.072], [3.072, 0.000, 3.072], [3.072, 3.072, 0.000]], "species": ["Pd", "Ga", "Ga", "Os"], "frac_coords": [[0.000, 0.000, 0.000], [0.250, 0.250, 0.250], [0.750, 0.750, 0.750], [0.500, 0.500, 0.500]], "polymorph_energy_ev_per_atom": 0.0638, "e_form_ev_per_atom": -0.2106, "crystal_system": "cubic", "space_group": "Fm-3m"}

***

{"formula": "NbAlGa", "functional": "PBE-GGA", "state": "optimized geometry", "lattice_angstrom": [[3.775, 0.000, 0.000], [0.000, 3.736, -0.973], [0.000, -0.152, 7.076]], "species": ["Al", "Al", "Nb", "Nb", "Ga", "Ga"], "frac_coords": [[0.750, 0.249, 0.499], [0.250, 0.751, 0.501], [0.750, 0.910, 0.821], [0.250, 0.090, 0.179], [0.750, 0.574, 0.148], [0.250, 0.426, 0.852]], "e_form_ev_per_atom": -0.3395, "crystal_system": "orthorhombic", "space_group": "Cmcm"}

***

{"formula": "TlP2Se", "functional": "PBE-GGA", "state": "optimized geometry", "lattice_angstrom": [[-0.172, -1.554, -2.867], [2.810, 1.541, 0.625], [3.206, -7.397, 3.817]], "species": ["Se", "P", "P", "Tl"], "frac_coords": [[0.500, 0.500, 0.250], [0.000, 0.000, 0.041], [0.000, 0.000, 0.459], [0.500, 0.500, 0.750]], "polymorph_energy_ev_per_atom": 0.5846, "raw_formation_energy_ev_per_atom": 0.65, "crystal_system": "orthorhombic", "space_group": "Cmmm"}

***

{"formula": "YIn3Cu", "functional": "PBE-GGA", "state": "optimized geometry", "lattice_angstrom": [[5.029, 0.000, 0.000], [0.000, 5.029, 0.000], [0.000, 0.000, 5.029]], "species": ["In", "In", "In", "Y", "Cu"], "frac_coords": [[0.000, 0.500, 0.000], [0.500, 0.000, 0.000], [0.000, 0.000, 0.500], [0.500, 0.500, 0.500], [0.000, 0.000, 0.000]], "polymorph_energy_ev_per_atom": 0.0000, "e_form_ev_per_atom": 0.0169, "crystal_system": "cubic", "space_group": "Pm-3m"}

***

{"formula": "BiTePtN2", "functional": "PBE-GGA", "state": "optimized geometry", "lattice_angstrom": [[-1.209, -3.895, -0.999], [3.368, -0.411, -2.474], [2.963, -2.042, 4.375]], "species": ["N", "N", "Pt", "Bi", "Te"], "frac_coords": [[0.500, 0.000, 0.000], [0.000, 0.500, 0.000], [0.000, 0.000, 0.000], [0.500, 0.500, 0.500], [0.000, 0.000, 0.500]], "polymorph_energy_ev_per_atom": 0.0000, "raw_formation_energy_ev_per_atom": 1.30, "crystal_system": "tetragonal", "space_group": "P4/mmm"}

***

{"formula": "Y2CdPt", "functional": "PBE-GGA", "state": "optimized geometry", "lattice_angstrom": [[-4.053, -0.077, -0.002], [-2.021, -1.226, 3.293], [-2.146, 6.895, 3.728]], "species": ["Y", "Y", "Cd", "Pt"], "frac_coords": [[0.516, 0.516, 0.453], [0.984, 0.984, 0.047], [0.750, 0.750, 0.750], [0.250, 0.250, 0.250]], "e_form_ev_per_atom": -0.6607, "crystal_system": "monoclinic", "space_group": "C2/m"}

***

{"formula": "LiBeMo2", "functional": "PBE-GGA", "state": "optimized geometry", "lattice_angstrom": [[-2.423, -1.944, 1.808], [1.991, -2.950, -0.503], [4.294, -0.746, 8.522]], "species": ["Li", "Li", "Be", "Be", "Mo", "Mo", "Mo", "Mo"], "frac_coords": [[0.500, 0.500, 0.000], [0.250, 0.750, 0.500], [0.000, 0.000, 0.000], [0.750, 0.250, 0.500], [0.634, 0.125, 0.250], [0.375, 0.366, 0.750], [0.875, 0.884, 0.750], [0.116, 0.625, 0.250]], "polymorph_energy_ev_per_atom": 0.5203, "e_form_ev_per_atom": 0.7539, "crystal_system": "tetragonal", "space_group": "I-42d"}

***

{"formula": "Ti12Sn6Os", "functional": "PBE-GGA", "state": "optimized geometry", "lattice_angstrom": [[7.030, 0.421, 0.504], [-0.650, 7.012, 0.504], [-0.650, -0.757, 6.989]], "species": ["Sn", "Sn", "Sn", "Sn", "Sn", "Sn", "Ti", "Ti", "Ti", "Ti", "Ti", "Ti", "Ti", "Ti", "Ti", "Ti", "Ti", "Ti", "Os"], "frac_coords": [[0.879, 0.263, 0.718], [0.121, 0.737, 0.282], [0.263, 0.718, 0.879], [0.737, 0.282, 0.121], [0.282, 0.121, 0.737], [0.718, 0.879, 0.263], [0.369, 0.057, 0.142], [0.631, 0.943, 0.858], [0.794, 0.529, 0.448], [0.142, 0.369, 0.057], [0.552, 0.206, 0.471], [0.529, 0.448, 0.794], [0.943, 0.858, 0.631], [0.858, 0.631, 0.943], [0.206, 0.471, 0.552], [0.448, 0.794, 0.529], [0.471, 0.552, 0.206], [0.057, 0.142, 0.369], [0.000, 0.000, 0.000]], "e_form_ev_per_atom": -0.1651, "crystal_system": "trigonal", "space_group": "R-3"}

***

{"formula": "Li3CdPb6", "functional": "PBE-GGA", "state": "optimized geometry", "lattice_angstrom": [[5.424, 0.000, 0.000], [0.000, 8.640, -2.707], [0.000, 0.193, 11.126]], "species": ["Li", "Li", "Li", "Li", "Li", "Li", "Pb", "Pb", "Pb", "Pb", "Pb", "Pb", "Pb", "Pb", "Pb", "Pb", "Pb", "Pb", "Cd", "Cd"], "frac_coords": [[0.250, 0.764, 0.973], [0.750, 0.619, 0.206], [0.250, 0.541, 0.376], [0.750, 0.459, 0.624], [0.750, 0.236, 0.027], [0.250, 0.381, 0.794], [0.250, 0.831, 0.281], [0.750, 0.533, 0.921], [0.250, 0.153, 0.186], [0.250, 0.652, 0.675], [0.750, 0.919, 0.126], [0.750, 0.348, 0.325], [0.750, 0.847, 0.814], [0.250, 0.270, 0.504], [0.250, 0.467, 0.079], [0.750, 0.730, 0.496], [0.750, 0.169, 0.719], [0.250, 0.081, 0.874], [0.250, 0.953, 0.577], [0.750, 0.047, 0.423]], "e_form_ev_per_atom": -0.1156, "crystal_system": "monoclinic", "space_group": "P2_1/m"}

***

{"formula": "ReIr6Os2", "functional": "PBE-GGA", "state": "optimized geometry", "lattice_angstrom": [[-0.853, 0.508, -4.995], [-7.171, -1.227, 1.759], [1.138, 7.299, 1.206]], "species": ["Ir", "Ir", "Ir", "Ir", "Ir", "Ir", "Ir", "Ir", "Ir", "Ir", "Ir", "Ir", "Os", "Os", "Os", "Os", "Re", "Re"], "frac_coords": [[0.815, 0.030, 0.268], [0.985, 0.264, 0.638], [0.685, 0.732, 0.970], [0.683, 0.924, 0.579], [0.515, 0.362, 0.736], [0.817, 0.421, 0.076], [0.015, 0.736, 0.362], [0.183, 0.579, 0.924], [0.317, 0.076, 0.421], [0.315, 0.268, 0.030], [0.485, 0.638, 0.264], [0.185, 0.970, 0.732], [0.875, 0.619, 0.650], [0.375, 0.650, 0.619], [0.125, 0.381, 0.350], [0.625, 0.350, 0.381], [0.750, 0.073, 0.927], [0.250, 0.927, 0.073]], "polymorph_energy_ev_per_atom": 0.0000, "e_form_ev_per_atom": 0.2639, "crystal_system": "monoclinic", "space_group": "C2/c"}